1.
DFT (GGA-PBE) results for an optimized crystal structure of CeSm2Ir9.

Cell: 9.365 9.365 9.365 Å, 33.17 33.17 33.17°
Atoms (fractional coordinates):
Ce1 0.000 0.000 0.000
Sm1 0.140 0.140 0.140
Sm2 0.860 0.860 0.860
Ir1 0.083 0.581 0.581
Ir2 0.333 0.333 0.333
Ir3 0.419 0.419 0.917
Ir4 0.419 0.917 0.419
Ir5 0.500 0.500 0.500
Ir6 0.581 0.083 0.581
Ir7 0.581 0.581 0.083
Ir8 0.667 0.667 0.667
Ir9 0.917 0.419 0.419

Properties
Total moment, Bohr magnetons per cell: 0.00
Symmetry: R-3m, No. 166
ρ, kg/m³: 16473
Calculated total energy, hartree per atom: -0.312
Formation energy, kJ/mol of atoms: -55



2.
DFT (GGA-PBE) results for an optimized crystal structure of CsSbAs2Se.

Cell: 5.770 5.770 5.449 Å, 90.00 90.00 90.00°
Atoms (fractional coordinates):
Cs1 0.000 0.000 0.000
Sb1 0.500 0.500 0.500
As1 0.000 0.500 0.000
As2 0.500 0.000 0.000
Se1 0.000 0.000 0.500

Properties
Energy relative to the elements, uncorrected, eV per atom: 1.572
Total moment, Bohr magnetons per cell: 0.00
Polymorph energy (0 for the lowest one), eV/atom: 1.385
Symmetry: P4/mmm, No. 123
ρ, kg/m³: 4425
Calculated total energy, hartree per atom: -0.073



3.
DFT (GGA-PBE) results for an optimized crystal structure of Mo2IrBrN.

Cell: 4.752 4.752 3.626 Å, 90.00 90.00 90.00°
Atoms (fractional coordinates):
Mo1 0.000 0.500 0.000
Mo2 0.500 0.000 0.000
Ir1 0.000 0.000 0.500
Br1 0.500 0.500 0.000
N1 0.500 0.500 0.500

Properties
Energy relative to the elements, uncorrected, eV per atom: 2.285
Total moment, Bohr magnetons per cell: 1.13
Symmetry: P4/mmm, No. 123
ρ, kg/m³: 9695
Calculated total energy, hartree per atom: -0.214



4.
DFT (GGA-PBE) results for an optimized crystal structure of SmThMg.

Cell: 9.166 9.166 5.660 Å, 90.00 90.00 157.31°
Atoms (fractional coordinates):
Sm1 0.097 0.903 0.750
Sm2 0.903 0.097 0.250
Th1 0.227 0.773 0.250
Th2 0.773 0.227 0.750
Mg1 0.440 0.560 0.750
Mg2 0.560 0.440 0.250

Properties
Total moment, Bohr magnetons per cell: 0.00
Polymorph energy (0 for the lowest one), eV/atom: 0.030
Symmetry: Cmcm, No. 63
ρ, kg/m³: 7364
Calculated total energy, hartree per atom: -0.168
Formation energy, kJ/mol of atoms: 0



5.
DFT (GGA-PBE) results for an optimized crystal structure of BaHAu3.

Cell: 4.704 4.704 4.704 Å, 90.00 90.00 90.00°
Atoms (fractional coordinates):
Ba1 0.000 0.000 0.000
H1 0.500 0.500 0.500
Au1 0.000 0.500 0.500
Au2 0.500 0.000 0.500
Au3 0.500 0.500 0.000

Properties
Total moment, Bohr magnetons per cell: 0.00
Polymorph energy (0 for the lowest one), eV/atom: 0.000
Symmetry: Pm-3m, No. 221
ρ, kg/m³: 11634
Calculated total energy, hartree per atom: -0.111



6.
DFT (GGA-PBE) results for an optimized crystal structure of LiIn4Pt.

Cell: 5.882 5.882 5.882 Å, 60.00 60.00 60.00°
Atoms (fractional coordinates):
Li1 0.000 0.000 0.000
In1 0.375 0.375 0.375
In2 0.375 0.375 0.874
In3 0.375 0.874 0.375
In4 0.874 0.375 0.375
Pt1 0.750 0.750 0.750

Properties
Total moment, Bohr magnetons per cell: 0.00
Symmetry: F-43m, No. 216
ρ, kg/m³: 7631
Calculated total energy, hartree per atom: -0.108
Formation energy, kJ/mol of atoms: 21



Look up the calculated total energy of the fourth one.
-0.168 hartree per atom



Number 5 is which compound?
BaHAu3



The highest calculated total energy belongs to which entry?
CsSbAs2Se